Entry from Alexandria via LeMat-Bulk: a relaxed structure of ZrTlPb2 (PBE-GGA).

Properties
Relative energy among the computed polymorphs, meV per atom: 102.3
Energy of formation, eV per atom: 0.080

Lattice parameters (Å, degrees): 5.976 5.976 5.976 134.83 134.83 65.80
Element x y z (fractional)
Pb (0.000, 0.000, 0.000)
Pb (0.500, 0.500, 0.000)
Tl (0.250, 0.750, 0.500)
Zr (0.750, 0.250, 0.500)